1.
This record from Alexandria describes Ta2Ti after structural relaxation. The functional is PBE-GGA.

Lattice parameters (Å, degrees): 3.322 4.638 7.126 90.00 103.48 90.00
Atoms (fractional coordinates):
Ta 0.580 0.250 0.159
Ta 0.754 0.750 0.507
Ta 0.246 0.250 0.493
Ta 0.420 0.750 0.841
Ti 0.913 0.250 0.827
Ti 0.087 0.750 0.173

- density of states at the Fermi level (states/eV/cell) = 11.488
- space group = Cmcm (63)
- energy above the lowest structure with this stoichiometry (eV/atom) = 0.000

=====

2.
This record from Alexandria describes Li5CdGe4 after structural relaxation. The functional is PBE-GGA.

Lattice parameters (Å, degrees): 2.783 2.783 21.172 90.00 90.00 90.00
Atoms (fractional coordinates):
Ge 0.000 0.000 0.598
Ge 0.000 0.000 0.796
Ge 0.000 0.000 0.204
Ge 0.000 0.000 0.402
Li 0.500 0.500 0.304
Li 0.500 0.500 0.890
Li 0.500 0.500 0.696
Li 0.500 0.500 0.500
Li 0.500 0.500 0.110
Cd 0.000 0.000 0.000

- density of states at the Fermi level (states/eV/cell) = 3.053
- energy (eV/atom) = -3.16
- space group = P4/mmm (123)

=====

3.
This record from Alexandria describes SmGe5 after structural relaxation. The functional is PBE-GGA.

Lattice parameters (Å, degrees): 4.051 6.158 6.158 60.72 70.93 70.93
Atoms (fractional coordinates):
Ge 0.331 0.875 0.462
Ge 0.000 0.500 0.500
Ge 0.669 0.125 0.538
Ge 0.669 0.538 0.125
Ge 0.331 0.462 0.875
Sm 0.000 0.000 0.000

- density of states at the Fermi level (states/eV/cell) = 2.589
- energy (eV/atom) = -4.88
- space group = C2/m (12)